Entry 1:
ScZnW2, PBEsol geometry, DFT meta-GGA SCAN; E_tot = -41.450 eV/atom; ΔE_f = 0.332 eV per atom; spin magnetization = 0.000 μB per atom
1.0
2.684 0.000 0.000
0.000 5.206 -0.004
0.000 -2.366 4.637
Sc W Zn
1 2 1
Direct
0.500 0.500 0.500
0.000 0.500 0.000
0.000 0.000 0.500
0.500 0.000 0.000

Entry 2:
ScZn2W, PBEsol geometry, DFT meta-GGA SCAN; E_tot = -27.539 eV/atom; ΔE_f = 0.200 eV per atom; spin magnetization = 0.000 μB per atom
1.0
2.791 0.000 0.000
0.000 4.931 -0.010
0.000 -1.824 4.676
Sc W Zn
1 1 2
Direct
0.500 0.500 0.000
0.000 0.500 0.500
0.000 0.000 0.000
0.500 0.000 0.500

Entry 3:
Sc2ZnW, PBEsol geometry, DFT meta-GGA SCAN; E_tot = -27.901 eV/atom; ΔE_f = 0.018 eV per atom; spin magnetization = 0.000 μB per atom
1.0
2.984 0.000 0.000
0.000 3.524 0.000
0.000 0.000 6.818
Sc W Zn
2 1 1
Direct
0.000 0.000 0.755
0.000 0.000 0.245
0.500 0.500 0.000
0.500 0.500 0.500

Entry 4:
ScZnW2, PBEsol geometry, DFT meta-GGA SCAN; E_tot = -41.543 eV/atom; ΔE_f = 0.239 eV per atom; spin magnetization = 0.000 μB per atom
1.0
-0.533 -3.412 -1.609
0.573 -1.679 3.371
-4.421 2.817 0.002
Sc W Zn
1 2 1
Direct
0.000 0.000 0.000
0.750 0.250 0.500
0.250 0.750 0.500
0.500 0.500 0.000

Entry 5:
ScZnW, PBEsol geometry, DFT meta-GGA SCAN; E_tot = -32.212 eV/atom; ΔE_f = 0.268 eV per atom; spin magnetization = 0.000 μB per atom
1.0
3.201 0.000 0.000
0.000 3.201 0.000
-1.601 -1.601 4.888
Sc W Zn
1 1 1
Direct
0.000 0.000 0.999
0.680 0.680 0.361
0.320 0.320 0.640

Entry 6:
ZrScZn2W, PBEsol geometry, DFT meta-GGA SCAN; E_tot = -27.434 eV/atom; ΔE_f = 0.897 eV per atom; spin magnetization = 0.000 μB per atom
1.0
-3.377 -2.837 -1.169
1.992 -3.478 2.687
-2.561 1.478 3.813
Sc Zn Zr W
1 2 1 1
Direct
0.500 0.000 0.000
0.000 0.000 0.500
0.000 0.500 0.000
0.500 0.500 0.500
0.000 0.000 0.000

Number 3 is which compound? Sc2ZnW

What is the ΔE_f in the second record? 0.200 eV per atom

Repeat the fourth record exactly.
ScZnW2, PBEsol geometry, DFT meta-GGA SCAN; E_tot = -41.543 eV/atom; ΔE_f = 0.239 eV per atom; spin magnetization = 0.000 μB per atom
1.0
-0.533 -3.412 -1.609
0.573 -1.679 3.371
-4.421 2.817 0.002
Sc W Zn
1 2 1
Direct
0.000 0.000 0.000
0.750 0.250 0.500
0.250 0.750 0.500
0.500 0.500 0.000